{
  "formula": "CeZnCo2",
  "functional": "PBEsol",
  "state": "optimized geometry",
  "dft_energy_ev_per_atom": -6.10,
  "formation_enthalpy_0k_ev_per_atom": -0.19,
  "space_group": "P6_3/mmc",
  "cell": [[5.035, 0.000, 0.000], [-2.518, 4.361, 0.000], [0.000, 0.000, 15.716]],
  "species": ["Ce", "Ce", "Ce", "Ce", "Ce", "Ce", "Zn", "Zn", "Zn", "Zn", "Zn", "Zn", "Co", "Co", "Co", "Co", "Co", "Co", "Co", "Co", "Co", "Co", "Co", "Co"],
  "fractional_positions": [[0.333, 0.667, 0.051], [0.333, 0.667, 0.250], [0.333, 0.667, 0.449], [0.667, 0.333, 0.551], [0.667, 0.333, 0.750], [0.667, 0.333, 0.949], [0.000, 0.000, 0.000], [0.000, 0.000, 0.250], [0.000, 0.000, 0.500], [0.000, 0.000, 0.750], [0.333, 0.667, 0.750], [0.667, 0.333, 0.250], [0.168, 0.337, 0.625], [0.168, 0.337, 0.875], [0.168, 0.832, 0.625], [0.168, 0.832, 0.875], [0.337, 0.168, 0.125], [0.337, 0.168, 0.375], [0.663, 0.832, 0.625], [0.663, 0.832, 0.875], [0.832, 0.168, 0.125], [0.832, 0.168, 0.375], [0.832, 0.663, 0.125], [0.832, 0.663, 0.375]]
}